1.
# HoPaTcHg (PBE, relaxed)
data_HoPaTcHg
_chemical_formula_sum 'Ho4 Pa4 Tc4 Hg4'
_space_group_name_H-M_alt 'F -4 3 m'
_space_group_IT_number 216
_space_group_name_Hall 'F -4 2 3'
_cell_length_a 7.1328
_cell_length_b 7.1328
_cell_length_c 7.1328
_cell_angle_alpha 90.00
_cell_angle_beta 90.00
_cell_angle_gamma 90.00
loop_
_atom_site_label
_atom_site_fract_x
_atom_site_fract_y
_atom_site_fract_z
Ho1 0.0000 0.0000 0.0000
Pa1 0.0000 0.0000 0.5000
Tc1 0.2500 0.2500 0.2500
Hg1 0.2500 0.2500 0.7500
# DOS(E_F): 4.11 states/eV/f.u.
# Formation energy from the elements: -0.003 eV/atom


2.
# TbPrSm2Tm4 (PBE, relaxed)
data_TbPrSm2Tm4
_chemical_formula_sum 'Tb4 Pr4 Sm8 Tm16'
_space_group_name_H-M_alt 'C 1 2/c 1'
_space_group_IT_number 15
_cell_length_a 13.5930
_cell_length_b 13.2436
_cell_length_c 6.7907
_cell_angle_alpha 90.00
_cell_angle_beta 119.97
_cell_angle_gamma 90.00
loop_
_space_group_symop_operation_xyz
'x,y,z'
'-x,-y,-z'
'-x,y,-z+1/2'
'x,-y,z+1/2'
'x+1/2,y+1/2,z'
'-x+1/2,-y+1/2,-z'
'-x+1/2,y+1/2,-z+1/2'
'x+1/2,-y+1/2,z+1/2'
loop_
_atom_site_label
_atom_site_fract_x
_atom_site_fract_y
_atom_site_fract_z
Tb1 0.0000 0.0000 0.0000
Pr1 0.2500 0.2500 0.0000
Sm1 0.0000 0.5000 0.0000
Sm2 0.2500 0.2500 0.5000
Tm1 0.0000 0.2485 0.0006
Tm2 0.2484 0.0002 0.4974
# DOS(E_F): 17.93 states/eV/f.u.
# Formation energy from the elements: 0.426 eV/atom


3.
# AgSbPb (PBE, relaxed)
data_AgSbPb
_chemical_formula_sum 'Ag2 Sb2 Pb2'
_space_group_name_H-M_alt 'I m m 2'
_space_group_IT_number 44
_cell_length_a 3.2344
_cell_length_b 4.1480
_cell_length_c 11.7187
_cell_angle_alpha 90.00
_cell_angle_beta 90.00
_cell_angle_gamma 90.00
loop_
_space_group_symop_operation_xyz
'x,y,z'
'-x,-y,z'
'-x,y,z'
'x,-y,z'
'x+1/2,y+1/2,z+1/2'
'-x+1/2,-y+1/2,z+1/2'
'-x+1/2,y+1/2,z+1/2'
'x+1/2,-y+1/2,z+1/2'
loop_
_atom_site_label
_atom_site_fract_x
_atom_site_fract_y
_atom_site_fract_z
Ag1 0.0000 0.0000 0.0000
Sb1 0.0000 0.0000 0.3738
Pb1 0.0000 0.0000 0.6649
# Energy above the most stable polymorph in this dataset: 0.261 eV per formula unit
# Formation energy without anion corrections: 0.109 eV per atom
# DOS(E_F): 1.12 states/eV/f.u.


4.
# CrSbIr (PBE, relaxed)
data_CrSbIr
_chemical_formula_sum 'Cr1 Sb1 Ir1'
_space_group_name_H-M_alt 'P -6 m 2'
_space_group_IT_number 187
_space_group_name_Hall 'P -6 2'
_cell_length_a 4.4586
_cell_length_b 4.4586
_cell_length_c 3.0436
_cell_angle_alpha 90.00
_cell_angle_beta 90.00
_cell_angle_gamma 120.00
loop_
_atom_site_label
_atom_site_fract_x
_atom_site_fract_y
_atom_site_fract_z
Cr1 0.0000 0.0000 0.0000
Sb1 0.3333 0.6667 0.5000
Ir1 0.6667 0.3333 0.5000
# Formation energy without anion corrections: 0.193 eV per atom
# DOS(E_F): 3.22 states/eV/f.u.


5.
# K2CuRe (PBE, relaxed)
data_K2CuRe
_chemical_formula_sum 'K4 Cu2 Re2'
_space_group_name_H-M_alt 'C 1 m 1'
_space_group_IT_number 8
_cell_length_a 12.8986
_cell_length_b 2.6933
_cell_length_c 6.3617
_cell_angle_alpha 90.00
_cell_angle_beta 108.37
_cell_angle_gamma 90.00
loop_
_space_group_symop_operation_xyz
'x,y,z'
'x,-y,z'
'x+1/2,y+1/2,z'
'x+1/2,-y+1/2,z'
loop_
_atom_site_label
_atom_site_fract_x
_atom_site_fract_y
_atom_site_fract_z
K1 0.0000 0.0000 0.0000
K2 0.1965 0.0000 0.6087
Cu1 0.4215 0.0000 0.4457
Re1 0.2756 0.5000 0.1654
# Energy above the most stable polymorph in this dataset: 0.756 eV per formula unit
# DOS(E_F): 3.13 states/eV/f.u.
# Formation energy from the elements: 1.092 eV/atom


6.
# LaYZr2 (PBE, relaxed)
data_LaYZr2
_chemical_formula_sum 'La3 Y3 Zr6'
_space_group_name_H-M_alt 'R 3 m'
_space_group_IT_number 160
_space_group_name_Hall 'R 3 -2"'
_cell_length_a 3.3928
_cell_length_b 3.3928
_cell_length_c 33.5786
_cell_angle_alpha 90.00
_cell_angle_beta 90.00
_cell_angle_gamma 120.00
loop_
_atom_site_label
_atom_site_fract_x
_atom_site_fract_y
_atom_site_fract_z
La1 0.0000 0.0000 0.0000
Y1 0.0000 0.0000 0.7632
Zr1 0.0000 0.0000 0.2508
Zr2 0.0000 0.0000 0.5104
# Energy above the most stable polymorph in this dataset: 0.118 eV per formula unit
# DOS(E_F): 5.49 states/eV/f.u.
# Formation energy from the elements: 0.138 eV/atom


7.
# Rb2BaMnCl6 (PBE, relaxed)
data_Rb2BaMnCl6
_chemical_formula_sum 'Rb4 Ba2 Mn2 Cl12'
_space_group_name_H-M_alt 'P 1 21/c 1'
_space_group_IT_number 14
_cell_length_a 7.5984
_cell_length_b 7.8366
_cell_length_c 13.1655
_cell_angle_alpha 90.00
_cell_angle_beta 124.39
_cell_angle_gamma 90.00
loop_
_space_group_symop_operation_xyz
'x,y,z'
'-x,-y,-z'
'-x,y+1/2,-z+1/2'
'x,-y+1/2,z+1/2'
loop_
_atom_site_label
_atom_site_fract_x
_atom_site_fract_y
_atom_site_fract_z
Rb1 0.2296 0.0583 0.2476
Ba1 0.5000 0.0000 0.0000
Mn1 0.0000 0.0000 0.5000
Cl1 0.1315 0.2273 0.9506
Cl2 0.2275 0.6843 0.9561
Cl3 0.3133 0.0248 0.7252
# Energy above the most stable polymorph in this dataset: 0.000 eV per formula unit
# Formation energy without anion corrections: -1.854 eV per atom
# DOS(E_F): 0.00 states/eV/f.u.


8.
# Nd3Al2Pd6 (PBE, relaxed)
data_Nd3Al2Pd6
_chemical_formula_sum 'Nd12 Al8 Pd24'
_space_group_name_H-M_alt 'I m -3 m'
_space_group_IT_number 229
_space_group_name_Hall '-I 4 2 3'
_cell_length_a 9.6190
_cell_length_b 9.6190
_cell_length_c 9.6190
_cell_angle_alpha 90.00
_cell_angle_beta 90.00
_cell_angle_gamma 90.00
loop_
_atom_site_label
_atom_site_fract_x
_atom_site_fract_y
_atom_site_fract_z
Nd1 0.0000 0.0000 0.2925
Al1 0.2500 0.2500 0.2500
Pd1 0.0000 0.3275 0.3275
# DOS(E_F): 6.94 states/eV/f.u.
# Formation energy from the elements: -0.845 eV/atom


9.
# Mg2Si4Ir3 (PBE, relaxed)
data_Mg2Si4Ir3
_chemical_formula_sum 'Mg8 Si16 Ir12'
_space_group_name_H-M_alt 'F m m m'
_space_group_IT_number 69
_space_group_name_Hall '-F 2 2'
_cell_length_a 5.5776
_cell_length_b 9.3406
_cell_length_c 11.4609
_cell_angle_alpha 90.00
_cell_angle_beta 90.00
_cell_angle_gamma 90.00
loop_
_atom_site_label
_atom_site_fract_x
_atom_site_fract_y
_atom_site_fract_z
Mg1 0.0000 0.0000 0.1228
Si1 0.0000 0.1766 0.3377
Ir1 0.0000 0.0000 0.5000
Ir2 0.2500 0.2500 0.0000
# Formation energy without anion corrections: -0.312 eV per atom
# DOS(E_F): 4.11 states/eV/f.u.


10.
# Tl2SbSe (PBE, relaxed)
data_Tl2SbSe
_chemical_formula_sum 'Tl2 Sb1 Se1'
_space_group_name_H-M_alt 'P 1 2/m 1'
_space_group_IT_number 10
_cell_length_a 3.1833
_cell_length_b 5.7831
_cell_length_c 6.2226
_cell_angle_alpha 90.00
_cell_angle_beta 91.69
_cell_angle_gamma 90.00
loop_
_space_group_symop_operation_xyz
'x,y,z'
'-x,-y,-z'
'-x,y,-z'
'x,-y,z'
loop_
_atom_site_label
_atom_site_fract_x
_atom_site_fract_y
_atom_site_fract_z
Tl1 0.1982 0.0000 0.2548
Sb1 0.5000 0.5000 0.0000
Se1 0.5000 0.5000 0.5000
# Energy above the most stable polymorph in this dataset: 0.359 eV per formula unit
# Formation energy without anion corrections: -0.008 eV per atom
# DOS(E_F): 1.49 states/eV/f.u.


11.
# Cd3ReSi (PBE, relaxed)
data_Cd3ReSi
_chemical_formula_sum 'Cd3 Re1 Si1'
_space_group_name_H-M_alt 'P m -3 m'
_space_group_IT_number 221
_space_group_name_Hall '-P 4 2 3'
_cell_length_a 5.2264
_cell_length_b 5.2264
_cell_length_c 5.2264
_cell_angle_alpha 90.00
_cell_angle_beta 90.00
_cell_angle_gamma 90.00
loop_
_atom_site_label
_atom_site_fract_x
_atom_site_fract_y
_atom_site_fract_z
Cd1 0.0000 0.0000 0.5000
Re1 0.0000 0.0000 0.0000
Si1 0.5000 0.5000 0.5000
# Energy above the most stable polymorph in this dataset: 0.000 eV per formula unit
# Formation energy without anion corrections: 1.408 eV per atom
# DOS(E_F): 2.88 states/eV/f.u.


12.
# YCo2Ru2 (PBE, relaxed)
data_YCo2Ru2
_chemical_formula_sum 'Y2 Co4 Ru4'
_space_group_name_H-M_alt 'P 4/m b m'
_space_group_IT_number 127
_space_group_name_Hall '-P 4 2ab'
_cell_length_a 7.2775
_cell_length_b 7.2775
_cell_length_c 2.7984
_cell_angle_alpha 90.00
_cell_angle_beta 90.00
_cell_angle_gamma 90.00
loop_
_atom_site_label
_atom_site_fract_x
_atom_site_fract_y
_atom_site_fract_z
Y1 0.0000 0.0000 0.0000
Co1 0.1180 0.3820 0.0000
Ru1 0.1733 0.6733 0.5000
# Energy above the most stable polymorph in this dataset: 0.636 eV per formula unit
# DOS(E_F): 6.50 states/eV/f.u.
# Formation energy from the elements: 0.138 eV/atom